Entry 1:
A geometry-optimized EuUGa2 structure. Source: Alexandria, functional PBE-GGA.

Its energy relative to the elements is -0.6 eV per formula unit. The energy above the most stable polymorph in this dataset comes out at 33 meV per atom. The total energy comes out at -28.20 eV/f.u.

Cell lengths 5.5086, 5.5086, 3.0013 Å; angles 90.00, 90.00, 90.00 degrees
Last column: nearest neighbours and their distance in Å.
Space group P4/mmm (No. 123)
Symmetry-distinct sites (fractional):
Eu: 0.0000 0.0000 0.0000 (multiplicity 1)  2 Eu 3.00, 8 Ga 3.14
U: 0.5000 0.5000 0.0000 (multiplicity 1)  2 U 3.00, 8 Ga 3.14
Ga: 0.0000 0.5000 0.5000 (multiplicity 2)  2 Ga 3.00, 4 U 3.14, 4 Eu 3.14

---

Entry 2:
A geometry-optimized Sm2BiO5 structure. Source: Alexandria, functional PBE-GGA.

The calculation puts the uncorrected formation energy at -20.05 eV per formula unit. The total energy comes out at -58.16 eV/f.u.

Cell lengths 9.6134, 7.5244, 6.8963 Å; angles 90.00, 106.85, 90.00 degrees
Last column: nearest neighbours and their distance in Å.
Space group P2_1/c (No. 14)
Symmetry-distinct sites (fractional):
Sm: 0.0073 0.1260 0.2401 (multiplicity 4)  7 O 2.36-2.54
Sm: 0.3443 0.1294 0.0447 (multiplicity 4)  4 O 2.24-2.41
Bi: 0.3295 0.6171 0.0591 (multiplicity 4)  4 O 2.12-2.25
O: 0.0990 0.6195 0.9740 (multiplicity 4)  1 Bi 2.12
O: 0.1007 0.1254 0.9473 (multiplicity 4)  4 Sm 2.24-2.44
O: 0.2832 0.1082 0.3494 (multiplicity 4)  1 Bi 2.19, 2 Sm 2.35-2.37
O: 0.2854 0.6461 0.3607 (multiplicity 4)  2 Bi 2.21-2.25, 1 Sm 2.41
O: 0.4743 0.1162 0.7667 (multiplicity 4)  1 Bi 2.43, 3 Sm 2.54-2.61

---

Entry 3:
A geometry-optimized YAsPb2 structure. Source: Alexandria, functional PBE-GGA.

Its energy relative to the elements is -2.0 eV per formula unit. The total energy comes out at -20.54 eV/f.u.

Cell lengths 4.1075, 4.1075, 6.8959 Å; angles 90.00, 90.00, 90.00 degrees
Last column: nearest neighbours and their distance in Å.
Space group P4mm (No. 99)
Symmetry-distinct sites (fractional):
Y: 0.0000 0.0000 0.0000 (multiplicity 1)  4 As 2.95, 1 Pb 3.27
As: 0.5000 0.5000 0.0760 (multiplicity 1)  1 Pb 2.81, 4 Y 2.95
Pb: 0.0000 0.0000 0.4740 (multiplicity 1)  4 Pb 3.20, 1 Y 3.27
Pb: 0.5000 0.5000 0.6679 (multiplicity 1)  1 As 2.81